No. 1
# U2SnS (PBE-GGA, optimized geometry)
# Volume = 23.86 A^3/atom
# Fermi-level density of states = 2.524 states/eV/atom
# Mass density = 10.9 g/cm3
# Energy relative to the elements, uncorrected = -0.507 eV per atom
data_U2SnS
_space_group_name_H-M_alt 'R -3 m'
_space_group_IT_number 166
_space_group_name_Hall '-R 3 2"'
_cell_length_a 3.6023
_cell_length_b 3.6023
_cell_length_c 25.4815
_cell_angle_alpha 90.00
_cell_angle_beta 90.00
_cell_angle_gamma 120.00
loop_
_atom_site_label
_atom_site_fract_x
_atom_site_fract_y
_atom_site_fract_z
U1 0.0000 0.0000 0.2349
Sn1 0.0000 0.0000 0.0000
S1 0.0000 0.0000 0.5000



No. 2
# TbTm6Th2 (PBE-GGA, optimized geometry)
# Volume = 30.85 A^3/atom
# Fermi-level density of states = 1.566 states/eV/atom
# Mass density = 9.8 g/cm3
# Distance to the lowest polymorph of the same formula = 0.0000 eV per atom
# Formation energy from the elements = 0.1261 eV/atom
data_TbTm6Th2
_space_group_name_H-M_alt 'C 1 2/c 1'
_space_group_IT_number 15
_space_group_name_Hall '-C 2yc'
_cell_length_a 16.0533
_cell_length_b 11.5694
_cell_length_c 6.0349
_cell_angle_alpha 90.00
_cell_angle_beta 97.74
_cell_angle_gamma 90.00
loop_
_atom_site_label
_atom_site_fract_x
_atom_site_fract_y
_atom_site_fract_z
Tb1 0.0000 0.1329 0.2500
Tm1 0.0561 0.3775 0.5360
Tm2 0.1113 0.1245 0.8040
Tm3 0.2237 0.1234 0.3671
Th1 0.1673 0.3712 0.0858



No. 3
# Sr2Ga2Hg (PBE-GGA, optimized geometry)
# Volume = 28.61 A^3/atom
# Fermi-level density of states = 0.810 states/eV/atom
# Mass density = 6.0 g/cm3
# Distance to the lowest polymorph of the same formula = 0.0000 eV per atom
# Formation energy from the elements = -0.4397 eV/atom
data_Sr2Ga2Hg
_space_group_name_H-M_alt 'C 1 2/m 1'
_space_group_IT_number 12
_space_group_name_Hall '-C 2y'
_cell_length_a 11.5155
_cell_length_b 4.8328
_cell_length_c 11.6928
_cell_angle_alpha 90.00
_cell_angle_beta 118.42
_cell_angle_gamma 90.00
loop_
_atom_site_label
_atom_site_fract_x
_atom_site_fract_y
_atom_site_fract_z
Sr1 0.0206 0.0000 0.3307
Sr2 0.1941 0.0000 0.1093
Ga1 0.0167 0.5000 0.8969
Ga2 0.1303 0.5000 0.5568
Hg1 0.2297 0.5000 0.3458



No. 4
# Fe2PtSe (PBE-GGA, optimized geometry)
# Volume = 14.81 A^3/atom
# Fermi-level density of states = 0.664 states/eV/atom
# Mass density = 10.8 g/cm3
# Energy relative to the elements, uncorrected = 0.179 eV per atom
data_Fe2PtSe
_space_group_name_H-M_alt 'P m m m'
_space_group_IT_number 47
_space_group_name_Hall '-P 2 2'
_cell_length_a 3.5216
_cell_length_b 3.9763
_cell_length_c 4.2307
_cell_angle_alpha 90.00
_cell_angle_beta 90.00
_cell_angle_gamma 90.00
loop_
_atom_site_label
_atom_site_fract_x
_atom_site_fract_y
_atom_site_fract_z
Fe1 0.0000 0.0000 0.0000
Fe2 0.5000 0.0000 0.5000
Pt1 0.0000 0.5000 0.5000
Se1 0.5000 0.5000 0.0000



No. 5
# Re2Rh (PBE-GGA, optimized geometry)
# Volume = 15.04 A^3/atom
# Fermi-level density of states = 1.491 states/eV/atom
# Mass density = 17.5 g/cm3
# Distance to the lowest polymorph of the same formula = 0.4399 eV per atom
# Formation energy from the elements = 0.3055 eV/atom
data_Re2Rh
_space_group_name_H-M_alt 'I 4/m m m'
_space_group_IT_number 139
_space_group_name_Hall '-I 4 2'
_cell_length_a 3.2717
_cell_length_b 3.2717
_cell_length_c 8.4309
_cell_angle_alpha 90.00
_cell_angle_beta 90.00
_cell_angle_gamma 90.00
loop_
_atom_site_label
_atom_site_fract_x
_atom_site_fract_y
_atom_site_fract_z
Re1 0.0000 0.0000 0.1729
Rh1 0.0000 0.0000 0.5000



No. 6
# PmDy4Tm (PBE-GGA, optimized geometry)
# Volume = 31.61 A^3/atom
# Fermi-level density of states = 1.382 states/eV/atom
# Mass density = 8.4 g/cm3
# Formation energy from the elements = 0.0196 eV/atom
data_PmDy4Tm
_space_group_name_H-M_alt 'P -1'
_space_group_IT_number 2
_space_group_name_Hall '-P 1'
_cell_length_a 3.5438
_cell_length_b 6.1441
_cell_length_c 9.3998
_cell_angle_alpha 77.34
_cell_angle_beta 79.26
_cell_angle_gamma 73.41
loop_
_atom_site_label
_atom_site_fract_x
_atom_site_fract_y
_atom_site_fract_z
Pm1 0.0000 0.0000 0.0000
Dy1 0.3329 0.9987 0.3359
Dy2 0.3335 0.5015 0.8309
Tm1 0.0000 0.5000 0.5000



No. 7
# TaVCr3 (PBE-GGA, optimized geometry)
# Volume = 15.19 A^3/atom
# Fermi-level density of states = 0.751 states/eV/atom
# Mass density = 8.5 g/cm3
# Distance to the lowest polymorph of the same formula = 0.0000 eV per atom
# Formation energy from the elements = 1.0562 eV/atom
data_TaVCr3
_space_group_name_H-M_alt 'P m -3 m'
_space_group_IT_number 221
_space_group_name_Hall '-P 4 2 3'
_cell_length_a 4.2345
_cell_length_b 4.2345
_cell_length_c 4.2345
_cell_angle_alpha 90.00
_cell_angle_beta 90.00
_cell_angle_gamma 90.00
loop_
_atom_site_label
_atom_site_fract_x
_atom_site_fract_y
_atom_site_fract_z
Ta1 0.0000 0.0000 0.0000
V1 0.5000 0.5000 0.5000
Cr1 0.0000 0.5000 0.5000



No. 8
# La12Nd3In (PBE-GGA, optimized geometry)
# Volume = 35.31 A^3/atom
# Fermi-level density of states = 1.489 states/eV/atom
# Mass density = 6.5 g/cm3
# Formation energy from the elements = -0.0611 eV/atom
data_La12Nd3In
_space_group_name_H-M_alt 'P 4/m m m'
_space_group_IT_number 123
_space_group_name_Hall '-P 4 2'
_cell_length_a 5.1845
_cell_length_b 5.1845
_cell_length_c 21.0179
_cell_angle_alpha 90.00
_cell_angle_beta 90.00
_cell_angle_gamma 90.00
loop_
_atom_site_label
_atom_site_fract_x
_atom_site_fract_y
_atom_site_fract_z
La1 0.0000 0.0000 0.0000
La2 0.0000 0.0000 0.2479
La3 0.0000 0.0000 0.5000
La4 0.0000 0.5000 0.1199
La5 0.0000 0.5000 0.3727
Nd1 0.5000 0.5000 0.2466
Nd2 0.5000 0.5000 0.5000
In1 0.5000 0.5000 0.0000



No. 9
# NaBr (PBE-GGA, optimized geometry)
# Volume = 37.70 A^3/atom
# Fermi-level density of states = 0.000 states/eV/atom
# Mass density = 2.3 g/cm3
# Energy relative to the elements, uncorrected = -1.499 eV per atom
data_NaBr
_space_group_name_H-M_alt 'P 42/m n m'
_space_group_IT_number 136
_space_group_name_Hall '-P 4n 2n'
_cell_length_a 7.8873
_cell_length_b 7.8873
_cell_length_c 4.8479
_cell_angle_alpha 90.00
_cell_angle_beta 90.00
_cell_angle_gamma 90.00
loop_
_atom_site_label
_atom_site_fract_x
_atom_site_fract_y
_atom_site_fract_z
Na1 0.1768 0.1768 0.0000
Br1 0.1890 0.8110 0.0000



No. 10
# YSe3 (PBE-GGA, optimized geometry)
# Volume = 28.59 A^3/atom
# Fermi-level density of states = 0.768 states/eV/atom
# Mass density = 4.7 g/cm3
# Energy relative to the elements, uncorrected = -0.697 eV per atom
data_YSe3
_space_group_name_H-M_alt 'P -6 m 2'
_space_group_IT_number 187
_space_group_name_Hall 'P -6 2'
_cell_length_a 4.6480
_cell_length_b 4.6480
_cell_length_c 6.1121
_cell_angle_alpha 90.00
_cell_angle_beta 90.00
_cell_angle_gamma 120.00
loop_
_atom_site_label
_atom_site_fract_x
_atom_site_fract_y
_atom_site_fract_z
Y1 0.0000 0.0000 0.0000
Se1 0.0000 0.0000 0.5000
Se2 0.3333 0.6667 0.2056



No. 11
# Tb5CeZn4 (PBE-GGA, optimized geometry)
# Volume = 24.50 A^3/atom
# Fermi-level density of states = 1.413 states/eV/atom
# Mass density = 8.1 g/cm3
# Formation energy from the elements = -0.2503 eV/atom
data_Tb5CeZn4
_space_group_name_H-M_alt 'P 4/m m m'
_space_group_IT_number 123
_space_group_name_Hall '-P 4 2'
_cell_length_a 3.5687
_cell_length_b 3.5687
_cell_length_c 19.2404
_cell_angle_alpha 90.00
_cell_angle_beta 90.00
_cell_angle_gamma 90.00
loop_
_atom_site_label
_atom_site_fract_x
_atom_site_fract_y
_atom_site_fract_z
Tb1 0.0000 0.0000 0.0000
Tb2 0.0000 0.0000 0.1858
Tb3 0.0000 0.0000 0.3721
Ce1 0.5000 0.5000 0.5000
Zn1 0.5000 0.5000 0.0938
Zn2 0.5000 0.5000 0.2802



No. 12
# LiTa2 (PBE-GGA, optimized geometry)
# Volume = 17.76 A^3/atom
# Fermi-level density of states = 0.823 states/eV/atom
# Mass density = 11.5 g/cm3
# Distance to the lowest polymorph of the same formula = 0.2124 eV per atom
# Formation energy from the elements = 0.4813 eV/atom
data_LiTa2
_space_group_name_H-M_alt 'I m m m'
_space_group_IT_number 71
_space_group_name_Hall '-I 2 2'
_cell_length_a 2.5866
_cell_length_b 4.7766
_cell_length_c 8.6234
_cell_angle_alpha 90.00
_cell_angle_beta 90.00
_cell_angle_gamma 90.00
loop_
_atom_site_label
_atom_site_fract_x
_atom_site_fract_y
_atom_site_fract_z
Li1 0.0000 0.0000 0.0000
Ta1 0.0000 0.5000 0.1757